ReNiO2 after structural relaxation. Source: Alexandria via LeMat-Bulk, functional PBE+U.

Summary:
The energy relative to the lowest polymorph listed for this composition comes out at 1189 meV per atom. The density of states at the Fermi level comes out at 2.74 states/eV per cell. The density comes out at 12.44 g/cm3.

Unit cell a=3.739 b=3.739 c=3.739 alpha=60.00 beta=60.00 gamma=60.00
Element x y z (fractional)
Re 0.500 0.500 0.500
O 0.250 0.250 0.250
O 0.750 0.750 0.750
Ni 0.000 0.000 0.000